# 1
Re2AgAs | Alexandria | GGA-PBE | relaxed; E_form = 0.26 eV/atom
1.0
2.8625 0.0000 0.0000
-1.4313 2.4790 0.0000
0.0000 0.0000 27.7626
Re Ag As
6 3 3
Direct
0.0000 0.0000 0.0000 Re
0.0000 0.0000 0.2584 Re
0.3333 0.6667 0.6667 Re
0.3333 0.6667 0.9251 Re
0.6667 0.3333 0.3333 Re
0.6667 0.3333 0.5918 Re
0.0000 0.0000 0.5033 Ag
0.3333 0.6667 0.1700 Ag
0.6667 0.3333 0.8367 Ag
0.0000 0.0000 0.7424 As
0.3333 0.6667 0.4091 As
0.6667 0.3333 0.0758 As

=====

# 2
ReAgAs4 | Alexandria | GGA-PBE | relaxed; E_form = 1.01 eV/atom
1.0
0.0000 3.8213 3.8213
3.8213 0.0000 3.8213
3.8213 3.8213 0.0000
Re Ag As
1 1 4
Direct
0.0000 0.0000 0.0000 Re
0.7500 0.7500 0.7500 Ag
0.3738 0.3738 0.3738 As
0.3738 0.3738 0.8787 As
0.3738 0.8787 0.3738 As
0.8787 0.3738 0.3738 As

=====

# 3
Re2AgAs | Alexandria | GGA-PBE | relaxed; E_form = 0.94 eV/atom
1.0
3.8323 0.0000 0.0000
0.0000 3.8323 0.0000
0.0000 0.0000 4.3849
Re Ag As
2 1 1
Direct
0.0000 0.5000 0.0000 Re
0.5000 0.0000 0.0000 Re
0.0000 0.0000 0.5000 Ag
0.5000 0.5000 0.5000 As

=====

# 4
Re2AgAs | Alexandria | GGA-PBE | relaxed; E_form = 0.64 eV/atom
1.0
3.0394 0.0000 0.0000
0.0000 3.0394 0.0000
0.0000 0.0000 6.7636
Re Ag As
2 1 1
Direct
0.0000 0.0000 0.2083 Re
0.0000 0.0000 0.7917 Re
0.5000 0.5000 0.5000 Ag
0.5000 0.5000 0.0000 As

=====

# 5
Re2AgAs | Alexandria | GGA-PBE | relaxed; E_form = 0.30 eV/atom
1.0
2.9224 0.0000 0.0000
0.0000 2.9224 0.0000
0.0000 0.0000 7.8537
Re Ag As
2 1 1
Direct
0.0000 0.0000 0.0000 Re
0.5000 0.5000 0.2076 Re
0.0000 0.0000 0.4791 Ag
0.5000 0.5000 0.7780 As

=====

# 6
ReAg3As | Alexandria | GGA-PBE | relaxed; ΔE to the lowest computed polymorph = 0.00 eV per formula unit; E_form = 1.42 eV/atom
1.0
4.9204 0.0000 0.0000
0.0000 4.9204 0.0000
0.0000 0.0000 4.9204
Re Ag As
1 3 1
Direct
0.0000 0.0000 0.0000 Re
0.0000 0.5000 0.5000 Ag
0.5000 0.0000 0.5000 Ag
0.5000 0.5000 0.0000 Ag
0.5000 0.5000 0.5000 As